[1]
A relaxed structure of Pr6ErPb10, computed with GGA-PBE.

a b c (Å): 9.635 9.635 6.604
angles (deg): 90.00 90.00 120.00
Atoms (fractional coordinates):
1 Pr 0.000 0.389 0.264
2 Pr 0.000 0.611 0.736
3 Pr 0.389 0.000 0.264
4 Pr 0.389 0.389 0.736
5 Pr 0.611 0.000 0.736
6 Pr 0.611 0.611 0.264
7 Er 0.000 0.000 0.500
8 Pb 0.000 0.255 0.797
9 Pb 0.000 0.745 0.203
10 Pb 0.255 0.000 0.797
11 Pb 0.255 0.255 0.203
12 Pb 0.333 0.667 0.000
13 Pb 0.333 0.667 0.500
14 Pb 0.667 0.333 0.000
15 Pb 0.667 0.333 0.500
16 Pb 0.745 0.000 0.203
17 Pb 0.745 0.745 0.797

## Properties
Calculated total energy, eV for the cell shown: -77.3
Space-group type: P-31m

---

[2]
A relaxed structure of LiPrRh2, computed with GGA-PBE.

a b c (Å): 4.266 4.266 3.926
angles (deg): 90.00 90.00 90.00
Atoms (fractional coordinates):
1 Li 0.000 0.000 0.000
2 Pr 0.500 0.500 0.000
3 Rh 0.000 0.500 0.500
4 Rh 0.500 0.000 0.500

## Properties
Calculated total energy, eV for the cell shown: -22.8
Space-group type: P4/mmm

---

[3]
A relaxed structure of Mg3Cd2Au3, computed with GGA-PBE.

a b c (Å): 8.188 8.188 5.655
angles (deg): 90.00 90.00 120.00
Atoms (fractional coordinates):
1 Mg 0.000 0.262 0.250
2 Mg 0.000 0.738 0.750
3 Mg 0.262 0.000 0.250
4 Mg 0.262 0.262 0.750
5 Mg 0.738 0.000 0.750
6 Mg 0.738 0.738 0.250
7 Cd 0.333 0.667 0.000
8 Cd 0.333 0.667 0.500
9 Cd 0.667 0.333 0.000
10 Cd 0.667 0.333 0.500
11 Au 0.000 0.372 0.750
12 Au 0.000 0.628 0.250
13 Au 0.372 0.000 0.750
14 Au 0.372 0.372 0.250
15 Au 0.628 0.000 0.250
16 Au 0.628 0.628 0.750

## Properties
Calculated total energy, eV for the cell shown: -39.2
Space-group type: P6_3/mcm

---

> What is the formula in the second record?

LiPrRh2

---

> Which formula does entry 2 have?

LiPrRh2